[1]
A plane-wave DFT calculation with PBEsol was carried out for a geometry-optimized MnIr structure.

Properties
Fermi-level density of states	2.02	states/eV/f.u.
calculated formation energy	-0.1195	eV/atom

a = 2.624 Å, b = 2.624 Å, c = 3.611 Å
α = 90.00°, β = 90.00°, γ = 90.00°
Space group P4/mmm (No. 123)
One atom of each set of equivalent atoms:
Mn: 0.000 0.000 0.000 (multiplicity 1)
Ir: 0.500 0.500 0.500 (multiplicity 1)



[2]
A plane-wave DFT calculation with PBEsol was carried out for a geometry-optimized Mn3Ir structure.

Properties
Fermi-level density of states	3.74	states/eV/f.u.
calculated formation energy	-0.1244	eV/atom

a = 3.628 Å, b = 3.628 Å, c = 3.605 Å
α = 90.00°, β = 90.00°, γ = 90.00°
Space group P4/mmm (No. 123)
One atom of each set of equivalent atoms:
Mn: 0.000 0.000 0.000 (multiplicity 1)
Mn: 0.000 0.500 0.500 (multiplicity 2)
Ir: 0.500 0.500 0.000 (multiplicity 1)



[3]
A plane-wave DFT calculation with PBEsol was carried out for a geometry-optimized MnIr2 structure.

Properties
Fermi-level density of states	2.64	states/eV/f.u.
calculated formation energy	-0.1223	eV/atom

a = 2.669 Å, b = 13.758 Å, c = 4.218 Å
α = 90.00°, β = 90.00°, γ = 90.00°
Space group Cmcm (No. 63)
One atom of each set of equivalent atoms:
Mn: 0.000 0.110 0.250 (multiplicity 4)
Ir: 0.000 0.223 0.750 (multiplicity 4)
Ir: 0.000 0.445 0.250 (multiplicity 4)



[4]
A plane-wave DFT calculation with PBEsol was carried out for a geometry-optimized Mn3Ir structure.

Properties
Fermi-level density of states	4.97	states/eV/f.u.
calculated formation energy	-0.0873	eV/atom

a = 5.0808 Å, b = 5.0808 Å, c = 8.0870 Å
α = 90.00°, β = 90.00°, γ = 120.00°
Space group P6_3/mmc (No. 194)
One atom of each set of equivalent atoms:
Mn: 0.0000 0.5000 0.0000 (multiplicity 6)
Mn: 0.1744 0.3489 0.2500 (multiplicity 6)
Ir: 0.0000 0.0000 0.0000 (multiplicity 2)
Ir: 0.3333 0.6667 0.7500 (multiplicity 2)



[5]
A plane-wave DFT calculation with PBEsol was carried out for a geometry-optimized MnIr2 structure.

Properties
Fermi-level density of states	2.73	states/eV/f.u.
calculated formation energy	-0.1225	eV/atom

a = 9.604 Å, b = 2.664 Å, c = 6.222 Å
α = 90.00°, β = 103.93°, γ = 90.00°
Space group C2/m (No. 12)
One atom of each set of equivalent atoms:
Mn: 0.029 0.000 0.310 (multiplicity 4)
Ir: 0.135 0.500 0.030 (multiplicity 4)
Ir: 0.185 0.500 0.631 (multiplicity 4)



[6]
A plane-wave DFT calculation with PBEsol was carried out for a geometry-optimized MnIr5 structure.

Properties
Fermi-level density of states	6.52	states/eV/f.u.
calculated formation energy	-0.0301	eV/atom

a = 9.840 Å, b = 2.714 Å, c = 6.367 Å
α = 90.00°, β = 104.56°, γ = 90.00°
Space group Cm (No. 8)
One atom of each set of equivalent atoms:
Mn: 0.000 0.000 0.000 (multiplicity 2)
Ir: 0.110 0.500 0.725 (multiplicity 2)
Ir: 0.163 0.500 0.322 (multiplicity 2)
Ir: 0.280 0.000 0.051 (multiplicity 2)
Ir: 0.336 0.000 0.670 (multiplicity 2)
Ir: 0.444 0.500 0.384 (multiplicity 2)



Q: Among the records above, which one has the lowest calculated formation energy?
A: number 2